(1)
Entry from Alexandria: Y2CdSb after structural relaxation (PBE).

- Symmetry: P4/mmm
- Crystal system: tetragonal
- V: 105.7 Å³/cell

Cell: 5.091 5.098 6.526 Å, 38.63 90.00 90.00°
Positions (direct):
Cd 0.500 0.500 0.500
Sb 0.000 0.000 0.500
Y 0.000 0.000 0.000
Y 0.500 0.500 0.000

---

(2)
Entry from Alexandria: YCdSb2 after structural relaxation (PBE).

- Symmetry: P2/m
- Crystal system: monoclinic
- V: 107.2 Å³/cell

Cell: 4.131 4.001 7.624 Å, 58.29 90.00 90.00°
Positions (direct):
Cd 0.500 0.750 0.750
Sb 0.000 0.986 0.014
Sb 0.000 0.514 0.486
Y 0.500 0.250 0.250

---

(3)
Entry from Alexandria: Y2CdSb after structural relaxation (PBE).

- Symmetry: Imm2
- Crystal system: orthorhombic
- V: 107.6 Å³/cell

Cell: 6.321 6.321 4.660 Å, 68.40 68.40 38.90°
Positions (direct):
Cd 0.490 0.490 0.510
Sb 0.761 0.761 0.739
Y 0.003 0.003 0.997
Y 0.247 0.247 0.254

---

(4)
Entry from Alexandria: Y2Cd2Sb after structural relaxation (PBE).

- Symmetry: P4/mbm
- Crystal system: tetragonal
- V: 266.7 Å³/cell

Cell: 7.635 7.635 4.574 Å, 90.00 90.00 90.00°
Positions (direct):
Y 0.168 0.668 0.500
Y 0.668 0.832 0.500
Y 0.832 0.332 0.500
Y 0.332 0.168 0.500
Sb 0.000 0.000 0.000
Sb 0.500 0.500 0.000
Cd 0.371 0.871 0.000
Cd 0.871 0.629 0.000
Cd 0.629 0.129 0.000
Cd 0.129 0.371 0.000

---

(5)
Entry from Alexandria: YCd4Sb after structural relaxation (PBE).

- Symmetry: F-43m
- Crystal system: cubic
- V: 148.3 Å³/cell

Cell: 5.941 5.941 5.941 Å, 60.00 60.00 60.00°
Positions (direct):
Y 0.000 0.000 0.000
Cd 0.876 0.375 0.375
Cd 0.375 0.375 0.876
Cd 0.375 0.876 0.375
Cd 0.375 0.375 0.375
Sb 0.750 0.750 0.750

---

(6)
Entry from Alexandria: YCdSb after structural relaxation (PBE).

- Symmetry: P3m1
- Crystal system: trigonal
- V: 81.5 Å³/cell

Cell: 4.633 4.633 4.386 Å, 90.00 90.00 120.00°
Positions (direct):
Cd 0.000 0.000 0.027
Sb 0.667 0.333 0.287
Y 0.333 0.667 0.686

---

(7)
Entry from Alexandria: YCdSb after structural relaxation (PBE).

- Symmetry: I4mm
- Crystal system: tetragonal
- V: 81.4 Å³/cell

Cell: 5.577 5.577 5.577 Å, 136.40 136.40 63.37°
Positions (direct):
Cd 0.002 0.002 0.000
Sb 0.322 0.322 0.000
Y 0.676 0.676 0.000

---

(8)
Entry from Alexandria: Y2CdSb after structural relaxation (PBE).

- Symmetry: I-42d
- Crystal system: tetragonal
- V: 237.7 Å³/cell

Cell: 8.202 8.202 6.791 Å, 52.85 52.85 90.00°
Positions (direct):
Y 0.629 0.125 0.250
Y 0.121 0.625 0.250
Y 0.375 0.371 0.750
Y 0.875 0.879 0.750
Sb 0.000 0.000 0.000
Sb 0.750 0.250 0.500
Cd 0.500 0.500 0.000
Cd 0.250 0.750 0.500

---

(9)
Entry from Alexandria: YCdSb2 after structural relaxation (PBE).

- Symmetry: I-42d
- Crystal system: tetragonal
- V: 226.3 Å³/cell

Cell: 8.110 8.110 6.687 Å, 52.67 52.67 90.00°
Positions (direct):
Y 0.500 0.500 0.000
Y 0.250 0.750 0.500
Sb 0.644 0.125 0.250
Sb 0.106 0.625 0.250
Sb 0.375 0.356 0.750
Sb 0.875 0.894 0.750
Cd 0.000 0.000 0.000
Cd 0.750 0.250 0.500

---

(10)
Entry from Alexandria: YCd2Sb2 after structural relaxation (PBE).

- Symmetry: I4/mmm
- Crystal system: tetragonal
- V: 142.6 Å³/cell

Cell: 4.102 4.102 8.959 Å, 76.77 76.77 90.00°
Positions (direct):
Y 0.000 0.000 0.000
Sb 0.412 0.412 0.175
Sb 0.588 0.588 0.825
Cd 0.750 0.250 0.500
Cd 0.250 0.750 0.500

---

(11)
Entry from Alexandria: YCdSb2 after structural relaxation (PBE).

- Symmetry: P4mm
- Crystal system: tetragonal
- V: 112.1 Å³/cell

Cell: 4.239 4.234 6.249 Å, 90.00 90.00 90.00°
Positions (direct):
Cd 0.500 0.500 0.798
Sb 0.000 0.000 0.937
Sb 0.500 0.500 0.318
Y 0.000 0.000 0.447

---

(12)
Entry from Alexandria: Y2Cd2Sb after structural relaxation (PBE).

- Symmetry: I4/mmm
- Crystal system: tetragonal
- V: 140.2 Å³/cell

Cell: 3.993 3.993 9.236 Å, 77.52 77.52 90.00°
Positions (direct):
Y 0.404 0.404 0.192
Y 0.596 0.596 0.808
Sb 0.000 0.000 0.000
Cd 0.750 0.250 0.500
Cd 0.250 0.750 0.500

---

Q: Which mass density values were calculated for the entries above? A: 6.5 6.9 6.4 6.5 7.4 6.6 6.6 5.8 6.5 6.5 6.6 6.2, in g/cm3.
Q: Which energy relative to the elements, uncorrected values were calculated for the entries above? A: -0.608 -0.467 -0.590 -0.397 -0.081 -0.472 -0.414 -0.373 -0.338 -0.287 -0.458 -0.355, in eV per atom.
Q: Which spin magnetization values were calculated for the entries above? A: 0.00 0.00 0.00 0.00 0.00 0.00 0.00 0.00 0.00 0.00 0.00 0.00, in μB/f.u..